No. 1
Hf2PdPb: optimized geometry, GGA-PBE.

Geometry as CIF:
```
data_Hf2PdPb
_chemical_formula_sum 'Hf8 Pd4 Pb4'
_cell_length_a 7.7107
_cell_length_b 7.7107
_cell_length_c 6.0598
_cell_angle_alpha 90.00
_cell_angle_beta 90.00
_cell_angle_gamma 90.00
_symmetry_space_group_name_H-M 'I -4 2 d'
_symmetry_Int_Tables_number 122
_symmetry_space_group_name_Hall 'I -4 2bw'
loop_
_atom_site_label
_atom_site_fract_x
_atom_site_fract_y
_atom_site_fract_z
Hf1 0.2132 0.2500 0.1250
Pd1 0.0000 0.0000 0.0000
Pb1 0.0000 0.0000 0.5000
```

## Properties
Magnetization in μB/f.u.: 0.00
Formation energy in eV/atom: -0.0137

---

No. 2
CsP2IO: optimized geometry, GGA-PBE.

Geometry as CIF:
```
data_CsP2IO
_chemical_formula_sum 'Cs1 P2 I1 O1'
_cell_length_a 5.6772
_cell_length_b 5.6772
_cell_length_c 4.4274
_cell_angle_alpha 90.00
_cell_angle_beta 90.00
_cell_angle_gamma 90.00
_symmetry_space_group_name_H-M 'P 4/m m m'
_symmetry_Int_Tables_number 123
_symmetry_space_group_name_Hall '-P 4 2'
loop_
_atom_site_label
_atom_site_fract_x
_atom_site_fract_y
_atom_site_fract_z
Cs1 0.0000 0.0000 0.0000
P1 0.0000 0.5000 0.0000
I1 0.5000 0.5000 0.5000
O1 0.0000 0.0000 0.5000
```

## Properties
Magnetization in μB/f.u.: 1.26
Formation energy from raw total energies in eV/atom: 1.468

---

No. 3
NdErSc2Au4: optimized geometry, GGA-PBE.

Geometry as CIF:
```
data_NdErSc2Au4
_chemical_formula_sum 'Nd3 Er3 Sc6 Au12'
_cell_length_a 4.8319
_cell_length_b 4.8319
_cell_length_c 26.6930
_cell_angle_alpha 90.00
_cell_angle_beta 90.00
_cell_angle_gamma 120.00
_symmetry_space_group_name_H-M 'R -3 m'
_symmetry_Int_Tables_number 166
_symmetry_space_group_name_Hall '-R 3 2"'
loop_
_atom_site_label
_atom_site_fract_x
_atom_site_fract_y
_atom_site_fract_z
Nd1 0.0000 0.0000 0.0000
Er1 0.0000 0.0000 0.5000
Sc1 0.0000 0.0000 0.2459
Au1 0.0000 0.0000 0.1184
Au2 0.0000 0.0000 0.3911
```

## Properties
Magnetization in μB/f.u.: 0.00
Formation energy in eV/atom: -0.7870

---

No. 4
BeCdRe2: optimized geometry, GGA-PBE.

Geometry as CIF:
```
data_BeCdRe2
_chemical_formula_sum 'Be2 Cd2 Re4'
_cell_length_a 3.7138
_cell_length_b 3.7138
_cell_length_c 8.7604
_cell_angle_alpha 90.00
_cell_angle_beta 90.00
_cell_angle_gamma 90.00
_symmetry_space_group_name_H-M 'I 4/m m m'
_symmetry_Int_Tables_number 139
_symmetry_space_group_name_Hall '-I 4 2'
loop_
_atom_site_label
_atom_site_fract_x
_atom_site_fract_y
_atom_site_fract_z
Be1 0.0000 0.0000 0.0000
Cd1 0.0000 0.0000 0.5000
Re1 0.0000 0.5000 0.2500
```

## Properties
Magnetization in μB/f.u.: 0.00
Formation energy in eV/atom: 0.6927

---

No. 5
ErCu: optimized geometry, GGA-PBE.

Geometry as CIF:
```
data_ErCu
_chemical_formula_sum 'Er1 Cu1'
_cell_length_a 3.4335
_cell_length_b 3.4335
_cell_length_c 3.4335
_cell_angle_alpha 90.00
_cell_angle_beta 90.00
_cell_angle_gamma 90.00
_symmetry_space_group_name_H-M 'P m -3 m'
_symmetry_Int_Tables_number 221
_symmetry_space_group_name_Hall '-P 4 2 3'
loop_
_atom_site_label
_atom_site_fract_x
_atom_site_fract_y
_atom_site_fract_z
Er1 0.0000 0.0000 0.0000
Cu1 0.5000 0.5000 0.5000
```

## Properties
Magnetization in μB/f.u.: 0.00
Formation energy in eV/atom: -0.2770

---

No. 6
PmGeRu2C: optimized geometry, GGA-PBE.

Geometry as CIF:
```
data_PmGeRu2C
_chemical_formula_sum 'Pm4 Ge4 Ru8 C4'
_cell_length_a 3.9759
_cell_length_b 11.1722
_cell_length_c 7.3469
_cell_angle_alpha 90.00
_cell_angle_beta 90.00
_cell_angle_gamma 90.00
_symmetry_space_group_name_H-M 'C m c m'
_symmetry_Int_Tables_number 63
_symmetry_space_group_name_Hall '-C 2c 2'
loop_
_atom_site_label
_atom_site_fract_x
_atom_site_fract_y
_atom_site_fract_z
Pm1 0.0000 0.0484 0.2500
Ge1 0.0000 0.2310 0.7500
Ru1 0.0000 0.3374 0.0581
C1 0.0000 0.5000 0.0000
```

## Properties
Magnetization in μB/f.u.: 0.00
Formation energy in eV/atom: -0.4732

---

No. 7
TaFe4: optimized geometry, GGA-PBE.

Geometry as CIF:
```
data_TaFe4
_chemical_formula_sum 'Ta2 Fe8'
_cell_length_a 3.5431
_cell_length_b 3.5431
_cell_length_c 10.0665
_cell_angle_alpha 90.00
_cell_angle_beta 90.00
_cell_angle_gamma 90.00
_symmetry_space_group_name_H-M 'I 4/m m m'
_symmetry_Int_Tables_number 139
_symmetry_space_group_name_Hall '-I 4 2'
loop_
_atom_site_label
_atom_site_fract_x
_atom_site_fract_y
_atom_site_fract_z
Ta1 0.0000 0.0000 0.0000
Fe1 0.0000 0.0000 0.3975
Fe2 0.0000 0.5000 0.2500
```

## Properties
Magnetization in μB/f.u.: 1.08
Formation energy in eV/atom: 0.2077

---

No. 8
Rb2GaSnS4: optimized geometry, GGA-PBE.

Geometry as CIF:
```
data_Rb2GaSnS4
_chemical_formula_sum 'Rb16 Ga8 Sn8 S32'
_cell_length_a 6.3204
_cell_length_b 14.1871
_cell_length_c 24.0046
_cell_angle_alpha 90.00
_cell_angle_beta 90.00
_cell_angle_gamma 90.00
_symmetry_space_group_name_H-M 'F d d d'
_symmetry_Int_Tables_number 70
loop_
_symmetry_equiv_pos_as_xyz
'x,y,z'
'-x,-y,-z'
'-x+1/4,-y+1/4,z'
'x+1/4,y+1/4,-z'
'x,-y+1/4,-z+1/4'
'-x,y+1/4,z+1/4'
'-x+1/4,y,-z+1/4'
'x+1/4,-y,z+1/4'
'x,y+1/2,z+1/2'
'-x,-y+1/2,-z+1/2'
'-x+1/4,-y+3/4,z+1/2'
'x+1/4,y+3/4,-z+1/2'
'x,-y+3/4,-z+3/4'
'-x,y+3/4,z+3/4'
'-x+1/4,y+1/2,-z+3/4'
'x+1/4,-y+1/2,z+3/4'
'x+1/2,y,z+1/2'
'-x+1/2,-y,-z+1/2'
'-x+3/4,-y+1/4,z+1/2'
'x+3/4,y+1/4,-z+1/2'
'x+1/2,-y+1/4,-z+3/4'
'-x+1/2,y+1/4,z+3/4'
'-x+3/4,y,-z+3/4'
'x+3/4,-y,z+3/4'
'x+1/2,y+1/2,z'
'-x+1/2,-y+1/2,-z'
'-x+3/4,-y+3/4,z'
'x+3/4,y+3/4,-z'
'x+1/2,-y+3/4,-z+1/4'
'-x+1/2,y+3/4,z+1/4'
'-x+3/4,y+1/2,-z+1/4'
'x+3/4,-y+1/2,z+1/4'
loop_
_atom_site_label
_atom_site_fract_x
_atom_site_fract_y
_atom_site_fract_z
Rb1 0.1250 0.1250 0.3064
Ga1 0.1250 0.1250 0.6250
Sn1 0.1250 0.1250 0.1250
S1 0.0942 0.2780 0.8224
```

## Properties
Magnetization in μB/f.u.: 0.70
Formation energy from raw total energies in eV/atom: -0.769